No. 1
A plane-wave DFT calculation with meta-GGA SCAN was carried out for a PBEsol-optimized structure of MoRuPt2.

Symmetry: P4/mmm
Energy above the lowest structure with this stoichiometry: 275 meV per atom
Calculated formation energy: 0.14 eV/f.u.

abc: 3.346 3.346 5.322
angles: 90.00 90.00 90.00
Site moments in Bohr magnetons follow the coordinates.
Element x y z (fractional)
Mo  0.500  0.500  0.500  -0.29
Ru  0.500  0.500  0.000  0.73
Pt  0.000  0.000  0.752  -0.01
Pt  0.000  0.000  0.248  -0.01

***

No. 2
A plane-wave DFT calculation with meta-GGA SCAN was carried out for a PBEsol-optimized structure of Zn2AgCl.

Symmetry: Pm
Energy above the lowest structure with this stoichiometry: 0 meV per atom
Raw formation energy: -0.156 eV per atom

abc: 3.019 3.062 7.475
angles: 90.13 90.00 90.00
Element x y z (fractional)
Ag  0.000  0.252  0.462
Zn  0.000  0.250  0.024
Zn  0.500  0.751  0.238
Cl  0.500  0.248  0.775

***

No. 3
A plane-wave DFT calculation with meta-GGA SCAN was carried out for a PBEsol-optimized structure of Mo2AsRh.

Symmetry: P4/mmm
Calculated formation energy: -0.31 eV/f.u.

abc: 2.927 2.927 6.733
angles: 90.00 90.00 90.00
Element x y z (fractional)
As  0.500  0.500  0.500
Mo  0.000  0.000  0.265
Mo  0.000  0.000  0.735
Rh  0.500  0.500  0.000